# 1
# FeAuBr2, PBEsol geometry, DFT SCAN
# Space group: P4/mmm, No. 123
# Relative energy among the computed polymorphs, meV/atom: 156
# Formation energy (no corrections), eV/f.u.: 1.10
data_FeAuBr2
_space_group_name_H-M_alt 'P 1'
_space_group_IT_number 1
_cell_length_a 3.0658
_cell_length_b 3.0658
_cell_length_c 8.9350
_cell_angle_alpha 90.00
_cell_angle_beta 90.00
_cell_angle_gamma 90.00
loop_
_space_group_symop_operation_xyz
'x,y,z'
loop_
_atom_site_label
_atom_site_type_symbol
_atom_site_fract_x
_atom_site_fract_y
_atom_site_fract_z
_atom_site_occupancy
Br1 Br 0.0000 0.0000 0.1790 1
Br2 Br 0.0000 0.0000 0.8210 1
Au1 Au 0.5000 0.5000 0.5000 1
Fe1 Fe 0.5000 0.5000 0.0000 1


# 2
# FeAuBr2, PBEsol geometry, DFT SCAN
# Space group: P4mm, No. 99
# Relative energy among the computed polymorphs, meV/atom: 0
# Formation energy (no corrections), eV/f.u.: 0.47
data_FeAuBr2
_space_group_name_H-M_alt 'P 1'
_space_group_IT_number 1
_cell_length_a 3.1829
_cell_length_b 3.1829
_cell_length_c 8.0785
_cell_angle_alpha 90.00
_cell_angle_beta 90.00
_cell_angle_gamma 90.00
loop_
_space_group_symop_operation_xyz
'x,y,z'
loop_
_atom_site_label
_atom_site_type_symbol
_atom_site_fract_x
_atom_site_fract_y
_atom_site_fract_z
_atom_site_occupancy
Br1 Br 0.5000 0.5000 0.3310 1
Br2 Br 0.0000 0.0000 0.9390 1
Fe1 Fe 0.0000 0.0000 0.5158 1
Au1 Au 0.5000 0.5000 0.7142 1


# 3
# FeAu2Br, PBEsol geometry, DFT SCAN
# Space group: Fm-3m, No. 225
# Formation energy (no corrections), eV/f.u.: 2.49
data_FeAu2Br
_space_group_name_H-M_alt 'P 1'
_space_group_IT_number 1
_cell_length_a 4.6410
_cell_length_b 4.6410
_cell_length_c 4.6410
_cell_angle_alpha 60.00
_cell_angle_beta 60.00
_cell_angle_gamma 60.00
loop_
_space_group_symop_operation_xyz
'x,y,z'
loop_
_atom_site_label
_atom_site_type_symbol
_atom_site_fract_x
_atom_site_fract_y
_atom_site_fract_z
_atom_site_occupancy
Br1 Br 0.0000 0.0000 0.0000 1
Fe1 Fe 0.5000 0.5000 0.5000 1
Au1 Au 0.7500 0.7500 0.7500 1
Au2 Au 0.2500 0.2500 0.2500 1